## HgOsBr (PBE)

Data for a relaxed HgOsBr crystal.

Unit cell a=4.5672 b=4.5672 c=3.2180 alpha=90.00 beta=90.00 gamma=120.00
Positions (direct):
Hg: 0.0000 0.0000 0.0000
Os: 0.6667 0.3333 0.5000
Br: 0.3333 0.6667 0.5000

Results
The value obtained for the calculated total energy is -3.16 eV per atom. Its volume is 19.4 Å³/atom. For the energy above the lowest structure with this stoichiometry, the calculation gives 0.306 eV/atom.

=====

## HgOsBr (PBE)

Data for a relaxed HgOsBr crystal.

Unit cell a=6.8958 b=6.8958 c=6.8958 alpha=154.09 beta=154.09 gamma=36.96
Positions (direct):
Hg: 0.0000 0.0000 0.0000
Os: 0.3531 0.3531 0.0000
Br: 0.7307 0.7307 0.0000

Results
The value obtained for the calculated total energy is -3.29 eV per atom. Its volume is 20.8 Å³/atom. For the energy above the lowest structure with this stoichiometry, the calculation gives 0.176 eV/atom.

=====

## HgOsBr2 (PBE)

Data for a relaxed HgOsBr2 crystal.

Unit cell a=5.0460 b=5.0460 c=5.0460 alpha=60.00 beta=60.00 gamma=60.00
Positions (direct):
Hg: 0.0000 0.0000 0.0000
Os: 0.2500 0.2500 0.2500
Br: 0.5000 0.5000 0.5000
Br: 0.7500 0.7500 0.7500

Results
The value obtained for the calculated total energy is -2.33 eV per atom. Its volume is 22.7 Å³/atom. For the energy above the lowest structure with this stoichiometry, the calculation gives 1.087 eV/atom.

=====

## HgOsBr (PBE)

Data for a relaxed HgOsBr crystal.

Unit cell a=8.3640 b=8.0316 c=3.1278 alpha=85.05 beta=73.07 gamma=21.87
Positions (direct):
Hg: 0.0000 0.0000 0.0000
Os: 0.6546 0.6546 0.3454
Br: 0.2806 0.2806 0.7194

Results
The value obtained for the calculated total energy is -3.47 eV per atom. Its volume is 21.4 Å³/atom. For the energy above the lowest structure with this stoichiometry, the calculation gives 0.000 eV/atom.

=====

## HgOs2Br (PBE)

Data for a relaxed HgOs2Br crystal.

Unit cell a=4.5934 b=4.5934 c=4.5934 alpha=60.00 beta=60.00 gamma=60.00
Positions (direct):
Hg: 0.0000 0.0000 0.0000
Os: 0.2500 0.2500 0.2500
Os: 0.7500 0.7500 0.7500
Br: 0.5000 0.5000 0.5000

Results
The value obtained for the calculated total energy is -4.42 eV per atom. Its volume is 17.1 Å³/atom. For the energy above the lowest structure with this stoichiometry, the calculation gives 0.796 eV/atom.

=====

## HgOsBr (PBE)

Data for a relaxed HgOsBr crystal.

Unit cell a=3.0448 b=3.0448 c=7.7563 alpha=90.00 beta=90.00 gamma=120.00
Positions (direct):
Hg: 0.0000 0.0000 0.0000
Os: 0.6667 0.3333 0.3038
Br: 0.3333 0.6667 0.5524

Results
The value obtained for the calculated total energy is -3.45 eV per atom. Its volume is 20.8 Å³/atom. For the energy above the lowest structure with this stoichiometry, the calculation gives 0.018 eV/atom.

=====

We obtain DOS(E_F) values of 4.05; 4.09; 5.18; 1.56; 3.43; 1.91 states/eV/f.u. for the records listed above, in that order.